! PBE Zr2Tc2Rh, optimized geometry; values from VASP
! Total DFT energy (no corrections) ... -9.05 eV/atom
! Energy relative to the lowest polymorph listed for this composition ... 0.0 kJ/mol of atoms
! Volume ... 19.09 Å³ per atom
&SYSTEM
  ibrav = 0, nat = 10, ntyp = 3
/
ATOMIC_SPECIES
Zr 91.22 Zr.upf
Tc 98.00 Tc.upf
Rh 102.91 Rh.upf
ATOMIC_POSITIONS crystal
Zr 0.000 0.000 0.100
Zr 0.000 0.000 0.900
Zr 0.500 0.500 0.400
Zr 0.500 0.500 0.600
Tc 0.000 0.500 0.250
Tc 0.000 0.500 0.750
Tc 0.500 0.000 0.250
Tc 0.500 0.000 0.750
Rh 0.000 0.000 0.500
Rh 0.500 0.500 0.000
CELL_PARAMETERS angstrom
3.439 0.000 0.000
0.000 3.439 0.000
0.000 0.000 16.143